AuOF6: relaxed, GGA-PBE.

The structure in POSCAR format:
```
AuOF6
1.0
0.000 3.631 3.631
3.631 0.000 3.631
3.631 3.631 0.000
Au O F
1 1 6
Cartesian
0.000 0.000 0.000
5.447 5.447 5.447
3.631 3.631 1.903
3.631 1.903 3.631
5.360 3.631 3.631
1.903 3.631 3.631
3.631 5.360 3.631
3.631 3.631 5.360
```

energy: -2.47 eV per atom
volume: 12.0 Å³/atom
theoretical density: 5.669 g/cm3